# 1
This record from the Alexandria database describes a relaxed structure of Ac2ZnHg2Pd4. The functional is PBE.

extended XYZ file:
```
9
Lattice="-1.856 5.254 3.439 -3.348 -5.551 0.920 5.803 -2.665 1.450" Properties=species:S:1:pos:R:3 pbc="T T T"
Ac -1.989 -2.203 2.772
Ac 2.587 -0.760 3.037
Zn 0.000 0.000 0.000
Hg 1.713 -5.734 1.654
Hg 0.742 -2.483 0.716
Pd -0.913 -4.783 1.061
Pd 0.933 -3.572 3.348
Pd 3.368 -3.433 1.309
Pd -0.335 0.610 2.461
```

Calculated values
SG	I4/mmm
formation energy from the elements	-529	meV per atom

=====

# 2
This record from the Alexandria database describes a relaxed structure of Ac3ZnHg2Pd9. The functional is PBE.

extended XYZ file:
```
15
Lattice="7.848 0.000 0.000 -3.924 6.796 0.000 0.000 0.000 6.747" Properties=species:S:1:pos:R:3 pbc="T T T"
Ac 0.000 4.531 4.579
Ac 0.000 0.000 0.000
Ac 3.924 2.265 2.168
Zn 0.000 0.000 3.374
Hg 0.000 4.531 1.285
Hg 3.924 2.265 5.462
Pd 6.007 1.063 4.473
Pd 3.924 4.671 4.473
Pd 1.840 1.063 4.473
Pd 2.083 5.734 2.274
Pd 0.000 2.125 2.274
Pd -2.083 5.734 2.274
Pd 3.924 0.000 0.000
Pd -1.962 3.398 0.000
Pd 1.962 3.398 0.000
```

Calculated values
SG	P-3m1
formation energy from the elements	-285	meV per atom

=====

# 3
This record from the Alexandria database describes a relaxed structure of Ac2Zn2HgPd5. The functional is PBE.

extended XYZ file:
```
20
Lattice="-0.655 3.778 0.739 -6.334 -2.575 7.545 7.787 0.067 6.560" Properties=species:S:1:pos:R:3 pbc="T T T"
Ac -2.901 -1.746 6.351
Ac 4.355 -0.762 7.754
Ac 1.312 -0.449 3.460
Ac 0.141 -2.058 10.645
Zn 4.058 -0.250 4.875
Zn -2.605 -2.257 9.230
Zn 3.023 -1.519 10.444
Zn -1.570 -0.989 3.661
Hg 0.000 0.000 0.000
Hg 0.727 -1.254 7.053
Pd -1.184 1.345 2.391
Pd 1.982 -0.074 12.453
Pd 5.401 1.779 6.010
Pd -1.442 0.083 8.614
Pd -4.603 -0.509 8.835
Pd 2.240 1.188 6.230
Pd 1.657 0.487 9.296
Pd -0.859 0.784 5.548
Pd -3.495 0.601 4.142
Pd 3.566 1.922 3.650
```

Calculated values
SG	P4/mbm
formation energy from the elements	-579	meV per atom

=====

> Look up the formation energy from the elements of the third one.

-579 meV per atom

=====

> Among the records above, which one has the highest formation energy from the elements?

Ac3ZnHg2Pd9

=====

> Number 2 is which compound?

Ac3ZnHg2Pd9

=====

> formation energy from the elements of number 1 (Ac2ZnHg2Pd4)?

-529 meV per atom